{
  "formula": "LaZnCoSn2",
  "functional": "PBE",
  "state": "optimized geometry",
  "lattice_angstrom": [[4.929, 0.000, 0.000], [0.000, 4.929, 0.000], [0.000, 0.000, 4.728]],
  "species": ["La", "Zn", "Co", "Sn", "Sn"],
  "fractional_positions": [[0.000, 0.000, 0.000], [0.500, 0.500, 0.000], [0.500, 0.500, 0.500], [0.000, 0.500, 0.500], [0.500, 0.000, 0.500]],
  "formation_energy_ev_per_fu": -1.30,
  "total_magnetization_mub_per_fu": 0.00
}


{
  "formula": "SrLaCo4",
  "functional": "PBE",
  "state": "optimized geometry",
  "lattice_angstrom": [[0.000, 3.701, 3.701], [3.701, 0.000, 3.701], [3.701, 3.701, 0.000]],
  "species": ["Sr", "La", "Co", "Co", "Co", "Co"],
  "fractional_positions": [[0.000, 0.000, 0.000], [0.250, 0.250, 0.250], [0.128, 0.624, 0.624], [0.624, 0.128, 0.624], [0.624, 0.624, 0.128], [0.624, 0.624, 0.624]],
  "formation_energy_ev_per_fu": 1.06,
  "total_magnetization_mub_per_fu": 3.99
}


{
  "formula": "SrLa3Co",
  "functional": "PBE",
  "state": "optimized geometry",
  "lattice_angstrom": [[4.031, -7.962, 0.000], [4.031, 7.962, 0.000], [0.000, 0.000, 5.697]],
  "species": ["Sr", "Sr", "La", "La", "La", "La", "La", "La", "Co", "Co"],
  "fractional_positions": [[0.126, 0.874, 0.000], [0.874, 0.126, 0.000], [0.000, 0.500, 0.500], [0.272, 0.272, 0.500], [0.376, 0.624, 0.000], [0.500, 0.000, 0.500], [0.624, 0.376, 0.000], [0.728, 0.728, 0.500], [0.370, 0.630, 0.500], [0.630, 0.370, 0.500]],
  "formation_energy_ev_per_fu": -0.23,
  "total_magnetization_mub_per_fu": 0.00,
  "de_polymorph_mev_per_atom": 0
}


{
  "formula": "SrLa2Co",
  "functional": "PBE",
  "state": "optimized geometry",
  "lattice_angstrom": [[3.616, 0.000, 0.000], [0.000, 3.616, 0.000], [0.000, 0.000, 10.141]],
  "species": ["Sr", "La", "La", "Co"],
  "fractional_positions": [[0.000, 0.000, 0.000], [0.500, 0.500, 0.343], [0.500, 0.500, 0.657], [0.000, 0.000, 0.500]],
  "formation_energy_ev_per_fu": 0.21,
  "total_magnetization_mub_per_fu": 0.00,
  "de_polymorph_mev_per_atom": 124
}


{
  "formula": "SrLa2Co",
  "functional": "PBE",
  "state": "optimized geometry",
  "lattice_angstrom": [[4.122, 0.000, 0.000], [-2.061, 3.570, 0.000], [0.000, 0.000, 9.848]],
  "species": ["Sr", "La", "La", "Co"],
  "fractional_positions": [[0.000, 0.000, 0.000], [0.333, 0.667, 0.647], [0.667, 0.333, 0.353], [0.000, 0.000, 0.500]],
  "formation_energy_ev_per_fu": -0.29,
  "total_magnetization_mub_per_fu": 0.00,
  "de_polymorph_mev_per_atom": 0
}


{
  "formula": "Sr2LaCo",
  "functional": "PBE",
  "state": "optimized geometry",
  "lattice_angstrom": [[3.697, 0.000, 0.000], [0.000, 3.697, 0.000], [0.000, 0.000, 9.940]],
  "species": ["Sr", "Sr", "La", "Co"],
  "fractional_positions": [[0.000, 0.000, 0.179], [0.000, 0.000, 0.821], [0.500, 0.500, 0.500], [0.500, 0.500, 0.000]],
  "formation_energy_ev_per_fu": 1.65,
  "total_magnetization_mub_per_fu": 0.73,
  "de_polymorph_mev_per_atom": 317
}


{
  "formula": "Sr3LaCo",
  "functional": "PBE",
  "state": "optimized geometry",
  "lattice_angstrom": [[5.834, 0.000, 0.000], [0.000, 5.834, 0.000], [0.000, 0.000, 5.834]],
  "species": ["Sr", "Sr", "Sr", "La", "Co"],
  "fractional_positions": [[0.000, 0.000, 0.500], [0.000, 0.500, 0.000], [0.500, 0.000, 0.000], [0.500, 0.500, 0.500], [0.000, 0.000, 0.000]],
  "formation_energy_ev_per_fu": 1.94,
  "total_magnetization_mub_per_fu": 0.23,
  "de_polymorph_mev_per_atom": 0
}


{
  "formula": "SrLa2Co",
  "functional": "PBE",
  "state": "optimized geometry",
  "lattice_angstrom": [[-1.861, 2.854, 6.025], [1.861, -2.854, 6.025], [1.861, 2.854, -6.025]],
  "species": ["Sr", "La", "La", "Co"],
  "fractional_positions": [[0.000, 0.000, 0.000], [0.353, 0.353, 0.000], [0.684, 0.184, 0.500], [0.210, 0.710, 0.500]],
  "formation_energy_ev_per_fu": 0.57,
  "total_magnetization_mub_per_fu": 0.00,
  "de_polymorph_mev_per_atom": 214
}